Density functional theory data (PBE) for a relaxed DyHoTm2Tl2 crystal.

Output
The density of states at the Fermi level comes out at 11.8 states/eV/cell. The value obtained for the formation energy is -0.260 eV per atom.

Geometry as CIF:
```
data_DyHoTm2Tl2
_chemical_formula_sum 'Dy2 Ho2 Tm4 Tl4'
_cell_length_a 5.048
_cell_length_b 9.894
_cell_length_c 6.773
_cell_angle_alpha 90.00
_cell_angle_beta 90.00
_cell_angle_gamma 90.00
_space_group_name_H-M_alt 'P m c 21'
_space_group_IT_number 26
_space_group_name_Hall 'P 2c -2'
loop_
_atom_site_label
_atom_site_type_symbol
_atom_site_fract_x
_atom_site_fract_y
_atom_site_fract_z
Dy1 Dy 0.000 0.042 0.000
Ho1 Ho 0.500 0.189 0.718
Tm1 Tm 0.000 0.314 0.376
Tm2 Tm 0.500 0.458 0.093
Tl1 Tl 0.000 0.369 0.838
Tl2 Tl 0.500 0.135 0.254
```

=====

Density functional theory data (PBE) for a relaxed ZrBH3 crystal.

Output
The value obtained for the energy above the most stable polymorph in this dataset is 0.0000 eV/atom. The density of states at the Fermi level comes out at 0.6 states/eV/cell.

Geometry as CIF:
```
data_ZrBH3
_chemical_formula_sum 'Zr1 B1 H3'
_cell_length_a 3.208
_cell_length_b 3.208
_cell_length_c 3.208
_cell_angle_alpha 90.00
_cell_angle_beta 90.00
_cell_angle_gamma 90.00
_space_group_name_H-M_alt 'P m -3 m'
_space_group_IT_number 221
_space_group_name_Hall '-P 4 2 3'
loop_
_atom_site_label
_atom_site_type_symbol
_atom_site_fract_x
_atom_site_fract_y
_atom_site_fract_z
Zr1 Zr 0.000 0.000 0.000
B1 B 0.500 0.500 0.500
H1 H 0.000 0.500 0.500
```

=====

Total magnetization
In order: 0.00 0.00
Unit: μB/f.u.